Material: FeMoAu
Method: DFT, PBE
State: optimized geometry

abc: 4.1568 4.1568 4.1568
angles: 60.00 60.00 60.00
Last column: nearest neighbours and their distance in Å.
Atoms (fractional coordinates):
Au (0.5000, 0.5000, 0.5000)  4 Fe 2.55
Fe (0.7500, 0.7500, 0.7500)  4 Mo 2.55, 4 Au 2.55
Mo (0.0000, 0.0000, 0.0000)  4 Fe 2.55

Results
Crystal system ... cubic
Energy of formation from the pure elements ... 0.5701 eV/atom
Excess energy over the best structure of this formula in the dataset ... 330 meV/atom
Total magnetic moment ... 1.40 μB/f.u.